(1)
# Hf4TcNi | Alexandria via LeMat-Bulk | PBE | relaxed
data_Hf4TcNi
_chemical_formula_sum 'Hf4 Tc1 Ni1'
_cell_length_a 3.267
_cell_length_b 3.267
_cell_length_c 10.384
_cell_angle_alpha 90.00
_cell_angle_beta 90.00
_cell_angle_gamma 90.00
_symmetry_space_group_name_H-M 'P 4/m m m'
_symmetry_Int_Tables_number 123
_symmetry_space_group_name_Hall '-P 4 2'
loop_
_atom_site_label
_atom_site_type_symbol
_atom_site_fract_x
_atom_site_fract_y
_atom_site_fract_z
Hf1 Hf 0.000 0.000 0.150
Hf2 Hf 0.500 0.500 0.347
Tc1 Tc 0.000 0.000 0.500
Ni1 Ni 0.500 0.500 0.000
# E in eV per atom: -9.617
# Energy of formation from the pure elements in meV per atom: -290
# V in A^3/atom: 18.5
# Theoretical density in g/cm³: 13.0

=====

(2)
# LiY2HgH | Alexandria via LeMat-Bulk | PBE | relaxed
data_LiY2HgH
_chemical_formula_sum 'Li1 Y2 Hg1 H1'
_cell_length_a 5.009
_cell_length_b 5.009
_cell_length_c 3.936
_cell_angle_alpha 90.00
_cell_angle_beta 90.00
_cell_angle_gamma 90.00
_symmetry_space_group_name_H-M 'P 4/m m m'
_symmetry_Int_Tables_number 123
_symmetry_space_group_name_Hall '-P 4 2'
loop_
_atom_site_label
_atom_site_type_symbol
_atom_site_fract_x
_atom_site_fract_y
_atom_site_fract_z
Li1 Li 0.000 0.000 0.000
Y1 Y 0.000 0.500 0.500
Hg1 Hg 0.500 0.500 0.000
H1 H 0.000 0.000 0.500
# E in eV per atom: -4.075
# V in A^3/atom: 19.8
# Theoretical density in g/cm³: 6.5
# Relative energy among the computed polymorphs in eV/f.u.: 0.000

=====

(3)
# CuHgBiAs2 | Alexandria via LeMat-Bulk | PBE | relaxed
data_CuHgBiAs2
_chemical_formula_sum 'Cu1 Hg1 Bi1 As2'
_cell_length_a 5.569
_cell_length_b 5.569
_cell_length_c 4.932
_cell_angle_alpha 90.00
_cell_angle_beta 90.00
_cell_angle_gamma 90.00
_symmetry_space_group_name_H-M 'P 4/m m m'
_symmetry_Int_Tables_number 123
_symmetry_space_group_name_Hall '-P 4 2'
loop_
_atom_site_label
_atom_site_type_symbol
_atom_site_fract_x
_atom_site_fract_y
_atom_site_fract_z
Cu1 Cu 0.000 0.000 0.000
Hg1 Hg 0.500 0.500 0.000
Bi1 Bi 0.000 0.000 0.500
As1 As 0.000 0.500 0.500
# E in eV per atom: -2.595
# Energy of formation from the pure elements in meV per atom: 920
# V in A^3/atom: 30.6
# Theoretical density in g/cm³: 6.8

=====

(4)
# RbReHgCl6 | Alexandria via LeMat-Bulk | PBE | relaxed
data_RbReHgCl6
_chemical_formula_sum 'Rb2 Re2 Hg2 Cl12'
_cell_length_a 8.0491
_cell_length_b 8.0491
_cell_length_c 10.8330
_cell_angle_alpha 90.00
_cell_angle_beta 90.00
_cell_angle_gamma 120.00
_symmetry_space_group_name_H-M 'P -3 1 c'
_symmetry_Int_Tables_number 163
_symmetry_space_group_name_Hall '-P 3 2c'
loop_
_atom_site_label
_atom_site_type_symbol
_atom_site_fract_x
_atom_site_fract_y
_atom_site_fract_z
Rb1 Rb 0.3333 0.6667 0.2500
Re1 Re 0.3333 0.6667 0.7500
Hg1 Hg 0.0000 0.0000 0.0000
Cl1 Cl 0.0943 0.4305 0.6247
# E in eV per atom: -3.600
# V in A^3/atom: 33.8
# Theoretical density in g/cm³: 3.7
# Formation energy from raw total energies in eV per formula unit: -7.61

=====

(5)
# TiHgS3 | Alexandria via LeMat-Bulk | PBE | relaxed
data_TiHgS3
_chemical_formula_sum 'Ti1 Hg1 S3'
_cell_length_a 4.742
_cell_length_b 4.742
_cell_length_c 4.742
_cell_angle_alpha 90.00
_cell_angle_beta 90.00
_cell_angle_gamma 90.00
_symmetry_space_group_name_H-M 'P m -3 m'
_symmetry_Int_Tables_number 221
_symmetry_space_group_name_Hall '-P 4 2 3'
loop_
_atom_site_label
_atom_site_type_symbol
_atom_site_fract_x
_atom_site_fract_y
_atom_site_fract_z
Ti1 Ti 0.000 0.000 0.000
Hg1 Hg 0.500 0.500 0.500
S1 S 0.000 0.000 0.500
# E in eV per atom: -4.459
# V in A^3/atom: 21.3
# Theoretical density in g/cm³: 5.4
# Relative energy among the computed polymorphs in eV/f.u.: 0.000
# Formation energy from raw total energies in eV per formula unit: -1.71

=====

(6)
# PrSmCdSi | Alexandria via LeMat-Bulk | PBE | relaxed
data_PrSmCdSi
_chemical_formula_sum 'Pr4 Sm4 Cd4 Si4'
_cell_length_a 7.438
_cell_length_b 7.438
_cell_length_c 7.438
_cell_angle_alpha 90.00
_cell_angle_beta 90.00
_cell_angle_gamma 90.00
_symmetry_space_group_name_H-M 'F -4 3 m'
_symmetry_Int_Tables_number 216
_symmetry_space_group_name_Hall 'F -4 2 3'
loop_
_atom_site_label
_atom_site_type_symbol
_atom_site_fract_x
_atom_site_fract_y
_atom_site_fract_z
Pr1 Pr 0.000 0.000 0.000
Sm1 Sm 0.000 0.000 0.500
Cd1 Cd 0.250 0.250 0.250
Si1 Si 0.250 0.250 0.750
# E in eV per atom: -4.343
# V in A^3/atom: 25.7
# Theoretical density in g/cm³: 7.0
# Formation energy from raw total energies in eV per formula unit: -1.53

=====

(7)
# CsAgTeO2 | Alexandria via LeMat-Bulk | PBE | relaxed
data_CsAgTeO2
_chemical_formula_sum 'Cs1 Ag1 Te1 O2'
_cell_length_a 4.297
_cell_length_b 4.297
_cell_length_c 8.408
_cell_angle_alpha 90.00
_cell_angle_beta 90.00
_cell_angle_gamma 90.00
_symmetry_space_group_name_H-M 'P 4/m m m'
_symmetry_Int_Tables_number 123
_symmetry_space_group_name_Hall '-P 4 2'
loop_
_atom_site_label
_atom_site_type_symbol
_atom_site_fract_x
_atom_site_fract_y
_atom_site_fract_z
Cs1 Cs 0.000 0.000 0.000
Ag1 Ag 0.000 0.000 0.500
Te1 Te 0.500 0.500 0.500
O1 O 0.000 0.500 0.000
# E in eV per atom: -2.761
# V in A^3/atom: 31.0
# Theoretical density in g/cm³: 4.3
# Formation energy from raw total energies in eV per formula unit: 2.96

=====

(8)
# Y2TiAl3Pt4 | Alexandria via LeMat-Bulk | PBE | relaxed
data_Y2TiAl3Pt4
_chemical_formula_sum 'Y2 Ti1 Al3 Pt4'
_cell_length_a 4.138
_cell_length_b 4.138
_cell_length_c 10.918
_cell_angle_alpha 90.00
_cell_angle_beta 90.00
_cell_angle_gamma 90.00
_symmetry_space_group_name_H-M 'P -4 m 2'
_symmetry_Int_Tables_number 115
_symmetry_space_group_name_Hall 'P -4 -2'
loop_
_atom_site_label
_atom_site_type_symbol
_atom_site_fract_x
_atom_site_fract_y
_atom_site_fract_z
Y1 Y 0.000 0.500 0.246
Ti1 Ti 0.000 0.000 0.500
Al1 Al 0.000 0.500 0.869
Al2 Al 0.500 0.500 0.500
Pt1 Pt 0.000 0.000 0.000
Pt2 Pt 0.000 0.500 0.642
Pt3 Pt 0.500 0.500 0.000
# E in eV per atom: -6.692
# Energy of formation from the pure elements in meV per atom: -1071
# V in A^3/atom: 18.7
# Theoretical density in g/cm³: 9.7

=====

(9)
# KBe2AlF8 | Alexandria via LeMat-Bulk | PBE | relaxed
data_KBe2AlF8
_chemical_formula_sum 'K3 Be6 Al3 F24'
_cell_length_a 5.0695
_cell_length_b 5.0695
_cell_length_c 22.9229
_cell_angle_alpha 90.00
_cell_angle_beta 90.00
_cell_angle_gamma 120.00
_symmetry_space_group_name_H-M 'R -3 m'
_symmetry_Int_Tables_number 166
_symmetry_space_group_name_Hall '-R 3 2"'
loop_
_atom_site_label
_atom_site_type_symbol
_atom_site_fract_x
_atom_site_fract_y
_atom_site_fract_z
K1 K 0.0000 0.0000 0.0000
Be1 Be 0.0000 0.0000 0.2390
Al1 Al 0.0000 0.0000 0.5000
F1 F 0.0000 0.0000 0.3040
F2 F 0.0000 0.5000 0.1200
# E in eV per atom: -5.569
# V in A^3/atom: 14.2
# Theoretical density in g/cm³: 2.3
# Formation energy from raw total energies in eV per formula unit: -39.57

=====

What did the second record say?
# LiY2HgH | Alexandria via LeMat-Bulk | PBE | relaxed
data_LiY2HgH
_chemical_formula_sum 'Li1 Y2 Hg1 H1'
_cell_length_a 5.009
_cell_length_b 5.009
_cell_length_c 3.936
_cell_angle_alpha 90.00
_cell_angle_beta 90.00
_cell_angle_gamma 90.00
_symmetry_space_group_name_H-M 'P 4/m m m'
_symmetry_Int_Tables_number 123
_symmetry_space_group_name_Hall '-P 4 2'
loop_
_atom_site_label
_atom_site_type_symbol
_atom_site_fract_x
_atom_site_fract_y
_atom_site_fract_z
Li1 Li 0.000 0.000 0.000
Y1 Y 0.000 0.500 0.500
Hg1 Hg 0.500 0.500 0.000
H1 H 0.000 0.000 0.500
# E in eV per atom: -4.075
# V in A^3/atom: 19.8
# Theoretical density in g/cm³: 6.5
# Relative energy among the computed polymorphs in eV/f.u.: 0.000